Pr2PaSi3Ir4 after structural relaxation. Source: the Alexandria database, functional PBE-GGA.

Unit cell a=4.2282 b=4.2282 c=10.8276 alpha=90.00 beta=90.00 gamma=90.00
Last column: nearest neighbours and their distance in Å.
Atoms (fractional coordinates):
Pr (0.0000, 0.5000, 0.2283)  4 Si 3.22, 8 Ir 3.25
Pr (0.5000, 0.0000, 0.7717)  4 Si 3.22, 8 Ir 3.25
Pa (0.0000, 0.0000, 0.5000)  4 Ir 2.69, 4 Si 2.99
Si (0.0000, 0.5000, 0.8810)  5 Ir 2.45-2.48
Si (0.5000, 0.0000, 0.1190)  5 Ir 2.45-2.48
Si (0.5000, 0.5000, 0.5000)  4 Ir 2.69, 4 Pa 2.99
Ir (0.0000, 0.0000, 0.0000)  4 Si 2.48
Ir (0.0000, 0.5000, 0.6543)  3 Si 2.45-2.69, 2 Pa 2.69
Ir (0.5000, 0.0000, 0.3457)  3 Si 2.45-2.69, 2 Pa 2.69
Ir (0.5000, 0.5000, 0.0000)  4 Si 2.48

- uncorrected formation energy (eV/atom) = -0.91
- symmetry = P-4m2 (115)